# 1
Compound: UCoSn
Source: Alexandria via LeMat-Bulk
Functional: PBE
Structure: optimized geometry

a = 4.473 Å, b = 4.473 Å, c = 4.473 Å
α = 60.00°, β = 60.00°, γ = 60.00°
Last column: magnetic moment on the atom in μB.
Positions (direct):
Sn 0.500 0.500 0.500  -0.05
U 0.000 0.000 0.000  1.60
Co 0.250 0.250 0.250  -0.64

## Properties
Energy relative to the elements in eV/atom: -0.12
Space group: No. 216
Uncorrected energy in eV per atom: -7.59
V in Å³ per atom: 21.1

# 2
Compound: UCo2Sn
Source: Alexandria via LeMat-Bulk
Functional: PBE
Structure: optimized geometry

a = 4.384 Å, b = 6.617 Å, c = 9.260 Å
α = 90.00°, β = 90.00°, γ = 90.00°
Last column: magnetic moment on the atom in μB.
Positions (direct):
Co 0.250 0.532 0.377  1.00
Co 0.250 0.103 0.323  0.34
Co 0.750 0.468 0.623  1.00
Co 0.750 0.603 0.177  0.34
Co 0.750 0.897 0.677  0.34
Co 0.250 0.397 0.823  0.34
Co 0.250 0.968 0.877  1.00
Co 0.750 0.032 0.123  1.00
U 0.250 0.313 0.098  -1.65
U 0.750 0.687 0.902  -1.65
U 0.250 0.187 0.598  -1.65
U 0.750 0.813 0.402  -1.65
Sn 0.250 0.695 0.641  0.02
Sn 0.250 0.805 0.141  0.02
Sn 0.750 0.195 0.859  0.02
Sn 0.750 0.305 0.359  0.02

## Properties
Energy relative to the elements in eV/atom: -0.18
Space group: No. 62
Uncorrected energy in eV per atom: -7.55
V in Å³ per atom: 16.8